Below is crystalline PbWO3 at its relaxed geometry, with properties calculated at the PBE with a Hubbard U level.

Cell and atoms, written as CIF:
```
data_PbWO3
_symmetry_space_group_name_H-M 'P m -3 m'
_symmetry_Int_Tables_number 221
_symmetry_space_group_name_Hall '-P 4 2 3'
_cell_length_a 4.083
_cell_length_b 4.083
_cell_length_c 4.083
_cell_angle_alpha 90.00
_cell_angle_beta 90.00
_cell_angle_gamma 90.00
loop_
_atom_site_label
_atom_site_type_symbol
_atom_site_fract_x
_atom_site_fract_y
_atom_site_fract_z
Pb1 Pb 0.000 0.000 0.000
W1 W 0.500 0.500 0.500
O1 O 0.000 0.500 0.500
```

DFT total energy in eV/atom: -6.63
Volume in Å³/atom: 13.61